Compound: MgZn2CdS4
Source: the Alexandria database
Functional: PBE
Structure: optimized geometry

Structure (POSCAR):
```
MgZn2CdS4
1.0
-2.800 2.800 5.677
2.800 -2.800 5.677
2.800 2.800 -5.677
Mg Zn Cd S
1 2 1 4
direct
0.000 0.000 0.000
0.250 0.750 0.500
0.750 0.250 0.500
0.500 0.500 0.000
0.108 0.623 0.000
0.377 0.377 0.484
0.623 0.108 0.000
0.892 0.892 0.516
```

Summary:
**Space-group type**: I-42m

***

Compound: SrPr2PaAs4
Source: the Alexandria database
Functional: PBE
Structure: optimized geometry

Structure (POSCAR):
```
SrPr2PaAs4
1.0
-3.021 3.021 6.063
3.021 -3.021 6.063
3.021 3.021 -6.063
Sr Pr Pa As
1 2 1 4
direct
0.000 0.000 0.000
0.500 0.500 0.000
0.750 0.250 0.500
0.250 0.750 0.500
0.016 0.516 0.500
0.254 0.254 0.000
0.484 0.984 0.500
0.746 0.746 0.000
```

Summary:
**Space-group type**: I-4m2

***

Compound: PmSmOsPt
Source: the Alexandria database
Functional: PBE
Structure: optimized geometry

Structure (POSCAR):
```
PmSmOsPt
1.0
0.000 3.529 3.529
3.529 0.000 3.529
3.529 3.529 0.000
Pm Sm Os Pt
1 1 1 1
direct
0.000 0.000 0.000
0.500 0.500 0.500
0.250 0.250 0.250
0.750 0.750 0.750
```

Summary:
**Space-group type**: F-43m

***

Compound: Y3HgO
Source: the Alexandria database
Functional: PBE
Structure: optimized geometry

Structure (POSCAR):
```
Y3HgO
1.0
7.645 -1.763 0.000
7.645 1.763 0.000
-1.064 0.000 8.718
Y Hg O
6 2 2
direct
0.100 0.100 0.120
0.210 0.210 0.803
0.348 0.348 0.532
0.652 0.652 0.468
0.790 0.790 0.197
0.900 0.900 0.880
0.461 0.461 0.244
0.539 0.539 0.756
0.220 0.220 0.329
0.780 0.780 0.671
```

Summary:
**E above lowest polymorph**: 203.8 meV/atom
**Space-group type**: C2/m

***

Number 1: electronic total energy -3.60 eV per atom, total magnetic moment 0.0 μB per cell. Number 2: electronic total energy -6.20 eV per atom, total magnetic moment 0.0 μB per cell. Number 3: electronic total energy -7.17 eV per atom, total magnetic moment 0.0 μB per cell. Number 4: electronic total energy -6.13 eV per atom, total magnetic moment 0.0 μB per cell.